DFT (PBE-GGA) results for crystalline Zn2PbAu at its relaxed geometry.

a = 4.6503 Å, b = 4.6503 Å, c = 5.6952 Å
α = 102.04°, β = 102.04°, γ = 44.61°
Closest atoms and distances in Å follow each position.
Element x y z (fractional)
1 Zn 0.0000 0.0000 0.0000  3 Au 2.68-2.69, 3 Zn 2.69-2.73
2 Zn 0.7379 0.7379 0.1831  3 Zn 2.69-2.73, 2 Au 2.72, 1 Pb 2.98
3 Pb 0.5082 0.5082 0.5035  3 Zn 2.98-3.15, 3 Au 3.09-3.11
4 Au 0.2662 0.2662 0.8313  5 Zn 2.68-2.72

- formation energy from the elements (meV per atom) = 2
- theoretical density (g cm⁻³) = 10.5
- E (hartree per atom) = -0.088

---

DFT (PBE-GGA) results for crystalline ZnPb2Au at its relaxed geometry.

a = 3.4650 Å, b = 3.4650 Å, c = 8.0559 Å
α = 90.00°, β = 90.00°, γ = 90.18°
Closest atoms and distances in Å follow each position.
Element x y z (fractional)
1 Zn 0.0000 0.0000 0.0000  4 Au 2.69-2.70
2 Pb 0.0000 0.0000 0.6048  1 Zn 3.18, 4 Au 3.20-3.21, 4 Pb 3.47
3 Pb 0.5000 0.5000 0.2573  1 Au 3.19, 4 Zn 3.21, 4 Pb 3.47
4 Au 0.5000 0.5000 0.8615  4 Zn 2.69-2.70

- formation energy from the elements (meV per atom) = -37
- theoretical density (g cm⁻³) = 11.6
- E (hartree per atom) = -0.111

---

DFT (PBE-GGA) results for crystalline Zn2Pb2Au at its relaxed geometry.

a = 9.6105 Å, b = 9.6105 Å, c = 9.6105 Å
α = 158.49°, β = 158.49°, γ = 30.60°
Closest atoms and distances in Å follow each position.
Element x y z (fractional)
1 Zn 0.2500 0.7500 0.5000  4 Zn 2.54
2 Zn 0.7500 0.2500 0.5000  4 Zn 2.54
3 Pb 0.0983 0.0983 0.0000  4 Au 3.12, 4 Zn 3.34
4 Pb 0.9017 0.9017 0.0000  4 Au 3.12, 4 Zn 3.34
5 Au 0.5000 0.5000 0.0000  8 Pb 3.12

- formation energy from the elements (meV per atom) = 88
- theoretical density (g cm⁻³) = 10.3
- E (hartree per atom) = -0.094

---

DFT (PBE-GGA) results for crystalline ZnPbAu2 at its relaxed geometry.

a = 4.9125 Å, b = 4.9125 Å, c = 4.9125 Å
α = 60.00°, β = 60.00°, γ = 60.00°
Closest atoms and distances in Å follow each position.
Element x y z (fractional)
1 Zn 0.0000 0.0000 0.0000  8 Au 3.01
2 Pb 0.5000 0.5000 0.5000  8 Au 3.01
3 Au 0.2500 0.2500 0.2500  4 Pb 3.01, 4 Zn 3.01
4 Au 0.7500 0.7500 0.7500  4 Pb 3.01, 4 Zn 3.01

- formation energy from the elements (meV per atom) = 44
- theoretical density (g cm⁻³) = 13.2
- E (hartree per atom) = -0.104

---

DFT (PBE-GGA) results for crystalline Zn2PbAu at its relaxed geometry.

a = 4.3888 Å, b = 4.3888 Å, c = 4.2135 Å
α = 90.00°, β = 90.00°, γ = 90.00°
Closest atoms and distances in Å follow each position.
Element x y z (fractional)
1 Zn 0.0000 0.5000 0.0000  4 Pb 3.04, 4 Au 3.04, 4 Zn 3.10
2 Zn 0.5000 0.0000 0.0000  4 Pb 3.04, 4 Au 3.04, 4 Zn 3.10
3 Pb 0.0000 0.0000 0.5000  8 Zn 3.04, 4 Au 3.10
4 Au 0.5000 0.5000 0.5000  8 Zn 3.04, 4 Pb 3.10

- formation energy from the elements (meV per atom) = 106
- theoretical density (g cm⁻³) = 10.9
- E (hartree per atom) = -0.084

---

DFT (PBE-GGA) results for crystalline ZnPbAu2 at its relaxed geometry.

a = 5.9702 Å, b = 5.9702 Å, c = 5.9702 Å
α = 42.79°, β = 42.79°, γ = 42.79°
Closest atoms and distances in Å follow each position.
Element x y z (fractional)
1 Zn 0.0000 0.0000 0.0000  6 Au 2.61-2.74
2 Pb 0.8160 0.8160 0.8160  1 Zn 2.99, 6 Au 3.05-3.15
3 Au 0.3763 0.3763 0.3763  3 Zn 2.61
4 Au 0.5995 0.5995 0.5995  3 Zn 2.74

- formation energy from the elements (meV per atom) = -58
- theoretical density (g cm⁻³) = 12.4
- E (hartree per atom) = -0.108

---

DFT (PBE-GGA) results for crystalline ZnPbAu2 at its relaxed geometry.

a = 4.8503 Å, b = 4.8503 Å, c = 5.3240 Å
α = 106.40°, β = 106.40°, γ = 46.68°
Closest atoms and distances in Å follow each position.
Element x y z (fractional)
1 Zn 0.0000 0.0000 0.0000  5 Au 2.66-2.72
2 Pb 0.2269 0.2269 0.6272  5 Au 2.98-3.11, 4 Zn 3.24-3.33
3 Au 0.4660 0.4660 0.3388  2 Zn 2.72, 3 Au 2.94-2.96, 1 Pb 2.98
4 Au 0.7165 0.7165 0.0805  3 Zn 2.66-2.69, 3 Au 2.94-2.96

- formation energy from the elements (meV per atom) = -52
- theoretical density (g cm⁻³) = 12.8
- E (hartree per atom) = -0.108

---

DFT (PBE-GGA) results for crystalline Zn2PbAu at its relaxed geometry.

a = 3.2940 Å, b = 3.2940 Å, c = 7.5519 Å
α = 90.00°, β = 90.00°, γ = 90.00°
Closest atoms and distances in Å follow each position.
Element x y z (fractional)
1 Zn 0.0000 0.0000 0.1942  4 Au 2.75, 1 Zn 2.93
2 Zn 0.0000 0.0000 0.8058  4 Au 2.75, 1 Zn 2.93
3 Pb 0.5000 0.5000 0.5000  8 Zn 3.28, 4 Pb 3.29
4 Au 0.5000 0.5000 0.0000  8 Zn 2.75

- formation energy from the elements (meV per atom) = 13
- theoretical density (g cm⁻³) = 10.8
- E (hartree per atom) = -0.087

---

DFT (PBE-GGA) results for crystalline ZnPbAu2 at its relaxed geometry.

a = 4.2610 Å, b = 4.2610 Å, c = 6.1441 Å
α = 110.11°, β = 110.11°, γ = 60.27°
Closest atoms and distances in Å follow each position.
Element x y z (fractional)
1 Zn 0.0000 0.0000 0.0000  6 Au 2.64-2.65
2 Pb 0.5000 0.5000 0.5000  6 Au 3.07-3.09
3 Au 0.2765 0.2765 0.8288  3 Zn 2.64-2.65
4 Au 0.7235 0.7235 0.1712  3 Zn 2.64-2.65

- formation energy from the elements (meV per atom) = -98
- theoretical density (g cm⁻³) = 12.5
- E (hartree per atom) = -0.110

---

DFT (PBE-GGA) results for crystalline ZnPb2Au2 at its relaxed geometry.

a = 8.7478 Å, b = 8.7478 Å, c = 8.7478 Å
α = 154.44°, β = 154.44°, γ = 36.46°
Closest atoms and distances in Å follow each position.
Element x y z (fractional)
1 Zn 0.0000 0.0000 0.0000  8 Pb 3.23
2 Pb 0.3971 0.3971 0.0000  4 Au 3.12, 4 Zn 3.23, 1 Pb 3.42
3 Pb 0.6029 0.6029 0.0000  4 Au 3.12, 4 Zn 3.23, 1 Pb 3.42
4 Au 0.2500 0.7500 0.5000  4 Au 2.74
5 Au 0.7500 0.2500 0.5000  4 Au 2.74

- formation energy from the elements (meV per atom) = 109
- theoretical density (g cm⁻³) = 11.7
- E (hartree per atom) = -0.108

---

DFT (PBE-GGA) results for crystalline ZnPbAu2 at its relaxed geometry.

a = 5.0187 Å, b = 5.0187 Å, c = 5.0187 Å
α = 128.35°, β = 113.58°, γ = 88.82°
Closest atoms and distances in Å follow each position.
Element x y z (fractional)
1 Zn 0.0000 0.0000 0.0000  4 Au 2.67
2 Pb 0.5000 0.5000 0.0000  8 Au 3.00-3.15
3 Au 0.2136 0.7136 0.5000  2 Zn 2.67
4 Au 0.7864 0.2864 0.5000  2 Zn 2.67

- formation energy from the elements (meV per atom) = 1
- theoretical density (g cm⁻³) = 12.8
- E (hartree per atom) = -0.106

---

DFT (PBE-GGA) results for crystalline ZnPbAu2 at its relaxed geometry.

a = 4.7157 Å, b = 4.7157 Å, c = 3.7508 Å
α = 90.00°, β = 90.00°, γ = 90.00°
Closest atoms and distances in Å follow each position.
Element x y z (fractional)
1 Zn 0.0000 0.0000 0.0000  8 Au 3.01, 4 Pb 3.33
2 Pb 0.5000 0.5000 0.0000  8 Au 3.01, 4 Zn 3.33
3 Au 0.0000 0.5000 0.5000  4 Pb 3.01, 4 Zn 3.01, 4 Au 3.33
4 Au 0.5000 0.0000 0.5000  4 Pb 3.01, 4 Zn 3.01, 4 Au 3.33

- formation energy from the elements (meV per atom) = 48
- theoretical density (g cm⁻³) = 13.3
- E (hartree per atom) = -0.104